Record 1
TbLuGe2: optimized geometry, GGA-PBE.

Geometry as CIF:
```
data_TbLuGe2
_symmetry_space_group_name_H-M 'P 4/m m m'
_symmetry_Int_Tables_number 123
_symmetry_space_group_name_Hall '-P 4 2'
_cell_length_a 4.720
_cell_length_b 4.720
_cell_length_c 3.980
_cell_angle_alpha 90.00
_cell_angle_beta 90.00
_cell_angle_gamma 90.00
loop_
_atom_site_label
_atom_site_fract_x
_atom_site_fract_y
_atom_site_fract_z
Tb1 0.000 0.000 0.000
Lu1 0.500 0.500 0.000
Ge1 0.000 0.500 0.500
```

Uncorrected energy ... -20.8 eV/cell
Crystal system ... tetragonal
Energy relative to the elements ... -237 kJ/mol of formula units


Record 2
Sr3Pb2Au: optimized geometry, GGA-PBE.

Geometry as CIF:
```
data_Sr3Pb2Au
_symmetry_space_group_name_H-M 'P n m a'
_symmetry_Int_Tables_number 62
_cell_length_a 13.519
_cell_length_b 4.850
_cell_length_c 12.907
_cell_angle_alpha 90.00
_cell_angle_beta 90.00
_cell_angle_gamma 90.00
loop_
_symmetry_equiv_pos_as_xyz
'x,y,z'
'-x,-y,-z'
'-x+1/2,-y,z+1/2'
'x+1/2,y,-z+1/2'
'x+1/2,-y+1/2,-z+1/2'
'-x+1/2,y+1/2,z+1/2'
'-x,y+1/2,-z'
'x,-y+1/2,z'
loop_
_atom_site_label
_atom_site_fract_x
_atom_site_fract_y
_atom_site_fract_z
Sr1 0.052 0.250 0.124
Sr2 0.117 0.750 0.553
Sr3 0.225 0.250 0.801
Pb1 0.012 0.750 0.306
Pb2 0.195 0.750 0.003
Au1 0.126 0.250 0.374
```

Uncorrected energy ... -76.9 eV/cell
Crystal system ... orthorhombic
Energy relative to the elements ... -336 kJ/mol of formula units